CuBiPt2W: optimized geometry, PBE-GGA.

Values from the calculation:
DFT formation energy   10.2 eV per formula unit
N(E_F)   4.0 states/eV per cell
Raw total energy   -4.566 eV/atom

a = 5.0601 Å, b = 5.0601 Å, c = 5.2313 Å
α = 90.00°, β = 90.00°, γ = 90.00°
With the nearest neighbours (Å) after each atom.
Space group P4/mmm (No. 123)
Asymmetric unit:
Cu: 0.0000 0.0000 0.0000 [1 per cell]  4 W 3.58, 8 Pt 3.64
Bi: 0.5000 0.5000 0.5000 [1 per cell]  4 Pt 2.53, 2 W 2.62
Pt: 0.0000 0.5000 0.5000 [2 per cell]  2 Bi 2.53
W: 0.5000 0.5000 0.0000 [1 per cell]  2 Bi 2.62